Record 1
Computed, not measured: an optimized crystal structure of Pa2NbFe9 at the PBE level of DFT.

ρ (Mg/m³): 10.72
E_form (eV per formula unit): -0.7

Unit cell a=8.802 b=8.802 c=8.802 alpha=31.36 beta=31.36 gamma=31.36
Fractional coordinates of all 12 atoms:
Pa 0.141 0.141 0.141
Pa 0.859 0.859 0.859
Nb 0.000 0.000 0.000
Fe 0.079 0.578 0.578
Fe 0.333 0.333 0.333
Fe 0.422 0.422 0.921
Fe 0.422 0.921 0.422
Fe 0.500 0.500 0.500
Fe 0.578 0.079 0.578
Fe 0.578 0.578 0.079
Fe 0.667 0.667 0.667
Fe 0.921 0.422 0.422

***

Record 2
Computed, not measured: an optimized crystal structure of PaNb2Fe9 at the PBE level of DFT.

ρ (Mg/m³): 9.40
E_form (eV per formula unit): -1.5

Unit cell a=8.457 b=8.457 c=8.457 alpha=33.31 beta=33.31 gamma=33.31
Fractional coordinates of all 12 atoms:
Pa 0.000 0.000 0.000
Nb 0.143 0.143 0.143
Nb 0.857 0.857 0.857
Fe 0.083 0.589 0.589
Fe 0.333 0.333 0.333
Fe 0.411 0.411 0.917
Fe 0.411 0.917 0.411
Fe 0.500 0.500 0.500
Fe 0.589 0.083 0.589
Fe 0.589 0.589 0.083
Fe 0.667 0.667 0.667
Fe 0.917 0.411 0.411

***

Record 3
Computed, not measured: an optimized crystal structure of PaNbFeTc at the PBE level of DFT.

ρ (Mg/m³): 11.40
E_form (eV per formula unit): -0.2

Unit cell a=4.617 b=4.617 c=4.617 alpha=60.00 beta=60.00 gamma=60.00
Fractional coordinates of all 4 atoms:
Pa 0.000 0.000 0.000
Nb 0.500 0.500 0.500
Fe 0.750 0.750 0.750
Tc 0.250 0.250 0.250

***

Record 4
Computed, not measured: an optimized crystal structure of NbFePb3 at the PBE level of DFT.

ρ (Mg/m³): 9.33
E_form (eV per formula unit): 4.8
Energy above the most stable polymorph in this dataset (meV per atom): 0.0

Unit cell a=5.157 b=5.157 c=5.157 alpha=90.00 beta=90.00 gamma=90.00
Fractional coordinates of all 5 atoms:
Nb 0.000 0.000 0.000
Fe 0.500 0.500 0.500
Pb 0.000 0.500 0.500
Pb 0.500 0.000 0.500
Pb 0.500 0.500 0.000

***

Question: What is the E_form in the second record?
Answer: -1.5 eV per formula unit

***

Question: What is the E_form in the first record?
Answer: -0.7 eV per formula unit

***

What did the first record say?
Computed, not measured: an optimized crystal structure of Pa2NbFe9 at the PBE level of DFT.

ρ (Mg/m³): 10.72
E_form (eV per formula unit): -0.7

Unit cell a=8.802 b=8.802 c=8.802 alpha=31.36 beta=31.36 gamma=31.36
Fractional coordinates of all 12 atoms:
Pa 0.141 0.141 0.141
Pa 0.859 0.859 0.859
Nb 0.000 0.000 0.000
Fe 0.079 0.578 0.578
Fe 0.333 0.333 0.333
Fe 0.422 0.422 0.921
Fe 0.422 0.921 0.422
Fe 0.500 0.500 0.500
Fe 0.578 0.079 0.578
Fe 0.578 0.578 0.079
Fe 0.667 0.667 0.667
Fe 0.921 0.422 0.422

***

Question: What is the E_form in the second record?
Answer: -1.5 eV per formula unit